VASP calculation (PBE-GGA) on a geometry-optimized SmB2PtO8 structure.

a = 4.927 Å, b = 4.927 Å, c = 6.770 Å
α = 90.00°, β = 90.00°, γ = 120.00°
Last column: magnetic moment on the atom in μB.
Fractional coordinates of all 12 atoms:
Pt1 0.000 0.000 0.000  0.39
Sm1 0.000 0.000 0.500  -0.01
O1 0.168 0.337 0.798  0.24
O2 0.337 0.168 0.202  0.24
O3 0.667 0.333 0.470  0.42
O4 0.832 0.663 0.202  0.24
O5 0.333 0.667 0.530  0.42
O6 0.168 0.832 0.798  0.24
O7 0.832 0.168 0.202  0.24
O8 0.663 0.832 0.798  0.24
B1 0.667 0.333 0.253  -0.02
B2 0.333 0.667 0.747  -0.02

Energy   -6.8717 eV per atom